[1]
Material: YEr3Tl2
Method: DFT, PBE
State: optimized geometry

Cell: 5.332 9.159 9.244 Å, 124.49 90.00 106.92°
Last column: magnetic moment on the atom in μB.
Fractional positions:
Er 0.058 0.116 0.401  0.10
Er 0.307 0.615 0.605  0.02
Er 0.942 0.884 0.599  0.10
Er 0.384 0.769 0.313  0.08
Er 0.616 0.231 0.687  0.08
Er 0.693 0.385 0.395  0.02
Y 0.869 0.738 0.908  0.01
Y 0.131 0.262 0.092  0.01
Tl 0.223 0.446 0.851  0.00
Tl 0.478 0.956 0.130  0.00
Tl 0.522 0.044 0.870  0.00
Tl 0.777 0.554 0.149  0.00

The calculated formation energy is -0.9 eV per formula unit. As for the crystal system: monoclinic.

=====

[2]
Material: GaCu4Sn
Method: DFT, PBE
State: optimized geometry

Cell: 5.006 4.241 9.043 Å, 103.39 106.07 90.00°
Fractional positions:
Ga 0.500 0.000 0.500
Ga 0.000 0.500 0.500
Sn 0.772 0.750 0.000
Sn 0.228 0.250 0.000
Cu 0.754 0.356 0.208
Cu 0.546 0.144 0.792
Cu 0.454 0.856 0.208
Cu 0.006 0.917 0.331
Cu 0.994 0.083 0.669
Cu 0.246 0.644 0.792
Cu 0.674 0.583 0.669
Cu 0.326 0.417 0.331

The calculated formation energy is 0.0 eV per formula unit. As for the crystal system: monoclinic.

=====

Number 1: calculated total energy -4.306 eV/atom, magnetization 0.05 μB/atom, energy above the lowest structure with this stoichiometry 11.0 kJ per mole of atoms. Number 2: calculated total energy -3.905 eV/atom, magnetization 0.00 μB/atom, energy above the lowest structure with this stoichiometry 5.4 kJ per mole of atoms.